Entry 1:
DFT (PBE) results for a relaxed structure of PaCdIn2O8.

total energy: -145.47 eV per cell
formation energy without anion corrections: -138.1 kJ/mol of atoms
theoretical density: 6.24 g cm⁻³

Lattice parameters (Å, degrees): 7.060 7.060 7.484 90.00 90.00 90.00
Space group I-4m2 (No. 119)
Inequivalent atoms, fractional coordinates:
Pa (0.000, 0.000, 0.000) (multiplicity 2)
Cd (0.000, 0.500, 0.750) (multiplicity 2)
In (0.000, 0.000, 0.500) (multiplicity 2)
In (0.000, 0.500, 0.250) (multiplicity 2)
O (0.000, 0.183, 0.717) (multiplicity 8)
O (0.000, 0.297, 0.056) (multiplicity 8)

=====

Entry 2:
DFT (PBE) results for a relaxed structure of UPaMn17.

total energy: -528.66 eV per cell
theoretical density: 9.55 g cm⁻³
formation enthalpy at 0 K: 0.024 eV per atom

Lattice parameters (Å, degrees): 8.5702 8.5702 11.5109 90.00 90.00 120.00
Space group R3m (No. 160, hexagonal axes)
Inequivalent atoms, fractional coordinates:
U (0.0000, 0.0000, 0.0000) (multiplicity 3)
Pa (0.0000, 0.0000, 0.7124) (multiplicity 3)
Mn (0.0000, 0.0000, 0.2576) (multiplicity 3)
Mn (0.0000, 0.0000, 0.4647) (multiplicity 3)
Mn (0.0000, 0.2720, 0.3599) (multiplicity 18)
Mn (0.0024, 0.5012, 0.2261) (multiplicity 9)
Mn (0.1671, 0.3341, 0.1930) (multiplicity 9)
Mn (0.1736, 0.3471, 0.8254) (multiplicity 9)

=====

Entry 3:
DFT (PBE) results for a relaxed structure of GaFe2ReAs.

total energy: -32.39 eV per cell
theoretical density: 8.55 g cm⁻³
formation enthalpy at 0 K: 0.932 eV per atom

Lattice parameters (Å, degrees): 4.304 4.304 4.639 90.00 90.00 90.00
Space group P4/mmm (No. 123)
Inequivalent atoms, fractional coordinates:
Ga (0.000, 0.000, 0.000) (multiplicity 1)
Fe (0.000, 0.500, 0.500) (multiplicity 2)
Re (0.500, 0.500, 0.000) (multiplicity 1)
As (0.500, 0.500, 0.500) (multiplicity 1)

=====

Entry 4:
DFT (PBE) results for a relaxed structure of Ba2HgF6.

total energy: -84.45 eV per cell
energy above the lowest structure with this stoichiometry: 50 meV/atom
formation energy without anion corrections: -287.9 kJ/mol of atoms
theoretical density: 4.91 g cm⁻³

Lattice parameters (Å, degrees): 5.726 5.726 12.165 90.00 90.00 90.00
Space group P4_2/mnm (No. 136)
Inequivalent atoms, fractional coordinates:
Ba (0.000, 0.000, 0.165) (multiplicity 4)
Hg (0.000, 0.000, 0.500) (multiplicity 2)
F (0.181, 0.181, 0.344) (multiplicity 8)
F (0.213, 0.213, 0.000) (multiplicity 4)

=====

Entry 5:
DFT (PBE) results for a relaxed structure of InCuPb2.

total energy: -26.53 eV per cell
theoretical density: 9.54 g cm⁻³
formation enthalpy at 0 K: 0.247 eV per atom

Lattice parameters (Å, degrees): 4.535 4.535 10.031 90.00 90.00 90.00
Space group I-4m2 (No. 119)
Inequivalent atoms, fractional coordinates:
In (0.000, 0.000, 0.000) (multiplicity 2)
Cu (0.000, 0.500, 0.250) (multiplicity 2)
Pb (0.000, 0.000, 0.500) (multiplicity 2)
Pb (0.000, 0.500, 0.750) (multiplicity 2)

=====

Entry 6:
DFT (PBE) results for a relaxed structure of MnCr2Pt.

total energy: -68.70 eV per cell
theoretical density: 11.38 g cm⁻³
formation enthalpy at 0 K: 0.026 eV per atom

Lattice parameters (Å, degrees): 8.666 2.648 4.583 90.00 100.72 90.00
Space group Cm (No. 8)
Inequivalent atoms, fractional coordinates:
Mn (0.000, 0.000, 0.000) (multiplicity 2)
Cr (0.247, 0.500, 0.225) (multiplicity 2)
Cr (0.494, 0.000, 0.477) (multiplicity 2)
Pt (0.246, 0.000, 0.724) (multiplicity 2)

=====

Entry 7:
DFT (PBE) results for a relaxed structure of KAgRu2.

total energy: -20.33 eV per cell
energy above the lowest structure with this stoichiometry: 0 meV/atom
theoretical density: 6.95 g cm⁻³
formation enthalpy at 0 K: 0.542 eV per atom

Lattice parameters (Å, degrees): 2.796 3.654 8.157 90.00 90.00 90.00
Space group Pmm2 (No. 25)
Inequivalent atoms, fractional coordinates:
K (0.000, 0.000, 0.000) (multiplicity 1)
Ag (0.500, 0.500, 0.676) (multiplicity 1)
Ru (0.000, 0.000, 0.455) (multiplicity 1)
Ru (0.500, 0.500, 0.323) (multiplicity 1)

=====

Entry 8:
DFT (PBE) results for a relaxed structure of HPt2S.

total energy: -67.41 eV per cell
energy above the lowest structure with this stoichiometry: 639 meV/atom
theoretical density: 13.64 g cm⁻³

Lattice parameters (Å, degrees): 5.906 5.906 5.906 90.00 90.00 90.00
Space group Fm-3m (No. 225)
Inequivalent atoms, fractional coordinates:
H (0.000, 0.000, 0.000) (multiplicity 4)
Pt (0.250, 0.250, 0.250) (multiplicity 8)
S (0.000, 0.000, 0.500) (multiplicity 4)

=====

Entry 9:
DFT (PBE) results for a relaxed structure of CeZn8Ir4.

total energy: -110.96 eV per cell
theoretical density: 11.33 g cm⁻³
formation enthalpy at 0 K: -0.301 eV per atom

Lattice parameters (Å, degrees): 8.652 8.652 5.608 90.00 90.00 90.00
Space group I4/mmm (No. 139)
Inequivalent atoms, fractional coordinates:
Ce (0.000, 0.000, 0.000) (multiplicity 2)
Zn (0.000, 0.227, 0.500) (multiplicity 8)
Zn (0.000, 0.342, 0.000) (multiplicity 8)
Ir (0.250, 0.250, 0.250) (multiplicity 8)

=====

Entry 10:
DFT (PBE) results for a relaxed structure of TbMgSc.

total energy: -12.38 eV per cell
energy above the lowest structure with this stoichiometry: 80 meV/atom
theoretical density: 4.77 g cm⁻³
formation enthalpy at 0 K: 0.059 eV per atom

Lattice parameters (Å, degrees): 5.2919 5.2919 3.2746 90.00 90.00 120.00
Space group P3m1 (No. 156)
Inequivalent atoms, fractional coordinates:
Tb (0.0000, 0.0000, 0.0000) (multiplicity 1)
Mg (0.3333, 0.6667, 0.6342) (multiplicity 1)
Sc (0.6667, 0.3333, 0.4318) (multiplicity 1)

=====

Entry 11:
DFT (PBE) results for a relaxed structure of Pr7Pd2Au2.

total energy: -108.59 eV per cell
theoretical density: 7.86 g cm⁻³
formation enthalpy at 0 K: -0.354 eV per atom

Lattice parameters (Å, degrees): 8.027 11.359 7.387 90.00 90.00 90.00
Space group Cmmm (No. 65)
Inequivalent atoms, fractional coordinates:
Pr (0.000, 0.000, 0.000) (multiplicity 2)
Pr (0.000, 0.500, 0.260) (multiplicity 4)
Pr (0.250, 0.250, 0.270) (multiplicity 8)
Pd (0.000, 0.292, 0.000) (multiplicity 4)
Au (0.179, 0.000, 0.500) (multiplicity 4)

=====

Entry 12:
DFT (PBE) results for a relaxed structure of TiAlTe2.

total energy: -56.61 eV per cell
formation energy without anion corrections: -22.9 kJ/mol of atoms
theoretical density: 4.97 g cm⁻³

Lattice parameters (Å, degrees): 3.6654 3.6654 28.4061 90.00 90.00 120.00
Space group P3_221 (No. 154)
Inequivalent atoms, fractional coordinates:
Ti (0.0000, 0.6712, 0.3333) (multiplicity 3)
Al (0.0000, 0.6645, 0.8333) (multiplicity 3)
Te (0.0045, 0.6667, 0.7285) (multiplicity 6)

=====

Entry 13:
DFT (PBE) results for a relaxed structure of MgNiH2.

total energy: -59.35 eV per cell
energy above the lowest structure with this stoichiometry: 29 meV/atom
theoretical density: 3.82 g cm⁻³

Lattice parameters (Å, degrees): 5.523 6.025 4.438 90.00 90.00 90.00
Space group Pna2_1 (No. 33)
Inequivalent atoms, fractional coordinates:
Mg (0.161, 0.115, 0.000) (multiplicity 4)
Ni (0.017, 0.674, 0.985) (multiplicity 4)
H (0.023, 0.418, 0.146) (multiplicity 4)
H (0.246, 0.791, 0.132) (multiplicity 4)

=====

Entry 14:
DFT (PBE) results for a relaxed structure of Li2InCuF6.

total energy: -90.87 eV per cell
energy above the lowest structure with this stoichiometry: 0 meV/atom
formation energy without anion corrections: -227.2 kJ/mol of atoms
theoretical density: 4.02 g cm⁻³

Lattice parameters (Å, degrees): 5.562 5.157 10.184 90.00 119.95 90.00
Space group P2_1/c (No. 14)
Inequivalent atoms, fractional coordinates:
Li (0.186, 0.009, 0.221) (multiplicity 4)
In (0.500, 0.000, 0.000) (multiplicity 2)
Cu (0.000, 0.000, 0.500) (multiplicity 2)
F (0.158, 0.681, 0.311) (multiplicity 4)
F (0.195, 0.181, 0.042) (multiplicity 4)
F (0.497, 0.202, 0.364) (multiplicity 4)

=====

Entry 15:
DFT (PBE) results for a relaxed structure of La2ZnPd2.

total energy: -99.03 eV per cell
theoretical density: 7.29 g cm⁻³
formation enthalpy at 0 K: -0.648 eV per atom

Lattice parameters (Å, degrees): 7.168 11.522 6.132 90.00 90.00 90.00
Space group Ibam (No. 72)
Inequivalent atoms, fractional coordinates:
La (0.177, 0.143, 0.000) (multiplicity 8)
Zn (0.000, 0.500, 0.250) (multiplicity 4)
Pd (0.245, 0.388, 0.000) (multiplicity 8)

=====

Entry 16:
DFT (PBE) results for a relaxed structure of KBe2NiCl.

total energy: -10.37 eV per cell
formation energy without anion corrections: 112.1 kJ/mol of atoms
theoretical density: 2.52 g cm⁻³

Lattice parameters (Å, degrees): 4.314 4.314 5.353 90.00 90.00 90.00
Space group P4/mmm (No. 123)
Inequivalent atoms, fractional coordinates:
K (0.000, 0.000, 0.000) (multiplicity 1)
Be (0.000, 0.500, 0.500) (multiplicity 2)
Ni (0.500, 0.500, 0.000) (multiplicity 1)
Cl (0.000, 0.000, 0.500) (multiplicity 1)

=====

Entry 17:
DFT (PBE) results for a relaxed structure of LiP2PtC.

total energy: -25.51 eV per cell
energy above the lowest structure with this stoichiometry: 0 meV/atom
theoretical density: 7.69 g cm⁻³
formation enthalpy at 0 K: 0.497 eV per atom

Lattice parameters (Å, degrees): 3.954 3.954 3.812 90.00 90.00 90.00
Space group P4/mmm (No. 123)
Inequivalent atoms, fractional coordinates:
Li (0.000, 0.000, 0.000) (multiplicity 1)
P (0.000, 0.500, 0.500) (multiplicity 2)
Pt (0.500, 0.500, 0.000) (multiplicity 1)
C (0.000, 0.000, 0.500) (multiplicity 1)

=====

Entry 18:
DFT (PBE) results for a relaxed structure of Ag2Sn2As.

total energy: -34.89 eV per cell
energy above the lowest structure with this stoichiometry: 40 meV/atom
theoretical density: 7.48 g cm⁻³
formation enthalpy at 0 K: 0.182 eV per atom

Lattice parameters (Å, degrees): 3.841 3.841 15.897 90.00 90.00 90.00
Space group I4/mmm (No. 139)
Inequivalent atoms, fractional coordinates:
Ag (0.000, 0.500, 0.250) (multiplicity 4)
Sn (0.000, 0.000, 0.097) (multiplicity 4)
As (0.000, 0.000, 0.500) (multiplicity 2)

=====

Entry 19:
DFT (PBE) results for a relaxed structure of HoMgNi.

total energy: -25.16 eV per cell
theoretical density: 6.77 g cm⁻³
formation enthalpy at 0 K: -0.208 eV per atom

Lattice parameters (Å, degrees): 3.305 3.305 11.135 90.00 90.00 90.00
Space group I4mm (No. 107)
Inequivalent atoms, fractional coordinates:
Ho (0.000, 0.000, 0.000) (multiplicity 2)
Mg (0.000, 0.000, 0.725) (multiplicity 2)
Ni (0.000, 0.000, 0.359) (multiplicity 2)

=====

Entry 20:
DFT (PBE) results for a relaxed structure of Zr5Tl2H2.

total energy: -112.39 eV per cell
theoretical density: 8.74 g cm⁻³

Lattice parameters (Å, degrees): 10.747 4.068 7.578 90.00 96.47 90.00
Space group C2/m (No. 12)
Inequivalent atoms, fractional coordinates:
Zr (0.000, 0.000, 0.000) (multiplicity 2)
Zr (0.140, 0.000, 0.434) (multiplicity 4)
Zr (0.214, 0.500, 0.150) (multiplicity 4)
Tl (0.072, 0.500, 0.725) (multiplicity 4)
H (0.164, 0.000, 0.163) (multiplicity 4)

=====

Entry 21:
DFT (PBE) results for a relaxed structure of Tb2HoH.

total energy: -16.77 eV per cell
energy above the lowest structure with this stoichiometry: 288 meV/atom
theoretical density: 8.46 g cm⁻³

Lattice parameters (Å, degrees): 3.353 3.353 8.444 90.00 90.00 90.00
Space group P4/mmm (No. 123)
Inequivalent atoms, fractional coordinates:
Tb (0.000, 0.000, 0.193) (multiplicity 2)
Ho (0.500, 0.500, 0.500) (multiplicity 1)
H (0.500, 0.500, 0.000) (multiplicity 1)

=====

Entry 22:
DFT (PBE) results for a relaxed structure of CeBi2F8.

total energy: -118.45 eV per cell
formation energy without anion corrections: -268.1 kJ/mol of atoms
theoretical density: 7.05 g cm⁻³

Lattice parameters (Å, degrees): 16.013 3.956 5.475 90.00 105.33 90.00
Space group C2/m (No. 12)
Inequivalent atoms, fractional coordinates:
Ce (0.000, 0.000, 0.000) (multiplicity 2)
Bi (0.171, 0.500, 0.671) (multiplicity 4)
F (0.030, 0.500, 0.792) (multiplicity 4)
F (0.099, 0.000, 0.415) (multiplicity 4)
F (0.141, 0.000, 0.922) (multiplicity 4)
F (0.232, 0.500, 0.325) (multiplicity 4)

=====

Entry 23:
DFT (PBE) results for a relaxed structure of Pm6NdY.

total energy: -39.61 eV per cell
energy above the lowest structure with this stoichiometry: 3 meV/atom
theoretical density: 6.69 g cm⁻³
formation enthalpy at 0 K: 0.016 eV per atom

Lattice parameters (Å, degrees): 5.155 5.155 10.301 90.00 90.00 90.00
Space group P4/mmm (No. 123)
Inequivalent atoms, fractional coordinates:
Pm (0.000, 0.000, 0.000) (multiplicity 1)
Pm (0.000, 0.000, 0.500) (multiplicity 1)
Pm (0.000, 0.500, 0.249) (multiplicity 4)
Nd (0.500, 0.500, 0.500) (multiplicity 1)
Y (0.500, 0.500, 0.000) (multiplicity 1)